A plane-wave DFT calculation with GGA+U was carried out for a relaxed structure of VCdOs2F.

The structure in POSCAR format:
```
VCdOs2F
1.0
4.4988 0.0000 0.0000
0.0000 5.4326 0.0000
0.0000 0.0000 4.4988
F Cd Os V
1 1 2 1
Cartesian
2.2494 2.7163 2.2494
0.0000 2.7163 0.0000
2.2494 0.0000 0.0000
0.0000 0.0000 2.2494
0.0000 0.0000 0.0000
```

Summary:
VASP energy   -4.841 eV per atom